This record from Alexandria via LeMat-Bulk describes crystalline CrCd2GaH at its relaxed geometry. The functional is PBE-GGA.

Properties
D(E_F), states/eV/atom: 0.54
Total energy, eV/cell: -13.09
Offset from the most stable computed form, meV per atom: 498

abc: 5.0754 5.0754 5.0225
angles: 90.00 90.00 90.00
Space group P4/mmm (No. 123)
One atom of each set of equivalent atoms:
Cr1 0.0000 0.0000 0.0000 x1
Cd1 0.0000 0.5000 0.5000 x2
Ga1 0.0000 0.0000 0.5000 x1
H1 0.5000 0.5000 0.0000 x1

This record from Alexandria via LeMat-Bulk describes crystalline TaSbSe3 at its relaxed geometry. The functional is PBE-GGA.

Properties
D(E_F), states/eV/atom: 0.91
Total energy, eV/cell: -20.88
E_form (uncorrected), eV/atom: 1.11
Offset from the most stable computed form, meV per atom: 1070

abc: 5.1937 5.1937 5.1937
angles: 90.00 90.00 90.00
Space group Pm-3m (No. 221)
One atom of each set of equivalent atoms:
Ta1 0.0000 0.0000 0.0000 x1
Sb1 0.5000 0.5000 0.5000 x1
Se1 0.0000 0.5000 0.5000 x3

This record from Alexandria via LeMat-Bulk describes crystalline NaPtSeN2 at its relaxed geometry. The functional is PBE-GGA.

Properties
D(E_F), states/eV/atom: 0.87
Total energy, eV/cell: -16.35
E_form (uncorrected), eV/atom: 2.23
Offset from the most stable computed form, meV per atom: 1379

abc: 4.1355 4.1355 5.7561
angles: 90.00 90.00 90.00
Space group P4/mmm (No. 123)
One atom of each set of equivalent atoms:
Na1 0.0000 0.0000 0.0000 x1
Pt1 0.5000 0.5000 0.5000 x1
Se1 0.0000 0.0000 0.5000 x1
N1 0.0000 0.5000 0.0000 x2